No. 1
{"formula": "Ba2SrPb", "functional": "PBE-GGA", "state": "optimized geometry", "spacegroup": "R3m, No. 160", "cell": [[2.9651, 1.7119, 7.2865], [-2.9651, 1.7119, 7.2865], [0.0000, -3.4238, 7.2865]], "species": ["Ba", "Ba", "Sr", "Pb"], "frac_coords": [[0.0000, 0.0000, 0.0000], [0.2279, 0.2279, 0.2279], [0.7765, 0.7765, 0.7765], [0.6146, 0.6146, 0.6146]]}

No. 2
{"formula": "BaSrPb", "functional": "PBE-GGA", "state": "optimized geometry", "spacegroup": "P6_3/mmc, No. 194", "cell": [[5.8883, 0.0000, 0.0000], [-2.9441, 5.0994, 0.0000], [0.0000, 0.0000, 8.2626]], "species": ["Ba", "Ba", "Sr", "Sr", "Pb", "Pb"], "frac_coords": [[0.0000, 0.0000, 0.0000], [0.0000, 0.0000, 0.5000], [0.3333, 0.6667, 0.2500], [0.6667, 0.3333, 0.7500], [0.3333, 0.6667, 0.7500], [0.6667, 0.3333, 0.2500]]}

No. 3
{"formula": "BaSr2Pb2", "functional": "PBE-GGA", "state": "optimized geometry", "de_polymorph_kcal_per_mol_atoms": 0.00, "spacegroup": "P4/mbm, No. 127", "cell": [[9.9982, 0.0000, 0.0000], [0.0000, 9.9982, 0.0000], [0.0000, 0.0000, 3.8163]], "species": ["Ba", "Ba", "Sr", "Sr", "Sr", "Sr", "Pb", "Pb", "Pb", "Pb"], "frac_coords": [[0.0000, 0.0000, 0.0000], [0.5000, 0.5000, 0.0000], [0.1248, 0.3752, 0.0000], [0.3752, 0.8752, 0.0000], [0.6248, 0.1248, 0.0000], [0.8752, 0.6248, 0.0000], [0.1746, 0.6746, 0.5000], [0.3254, 0.1746, 0.5000], [0.6746, 0.8254, 0.5000], [0.8254, 0.3254, 0.5000]]}

No. 4
{"formula": "BaSrPb", "functional": "PBE-GGA", "state": "optimized geometry", "spacegroup": "I4mm, No. 107", "cell": [[-2.1633, 2.1633, 7.2145], [2.1633, -2.1633, 7.2145], [2.1633, 2.1633, -7.2145]], "species": ["Ba", "Sr", "Pb"], "frac_coords": [[0.0000, 0.0000, 0.0000], [0.2631, 0.2631, 0.0000], [0.6437, 0.6437, 0.0000]]}

No. 5
{"formula": "BaSr2Pb2", "functional": "PBE-GGA", "state": "optimized geometry", "de_polymorph_kcal_per_mol_atoms": 0.04, "spacegroup": "P4/mbm, No. 127", "cell": [[9.1450, 0.0000, 0.0000], [0.0000, 9.1450, 0.0000], [0.0000, 0.0000, 4.9064]], "species": ["Ba", "Ba", "Sr", "Sr", "Sr", "Sr", "Pb", "Pb", "Pb", "Pb"], "frac_coords": [[0.0000, 0.0000, 0.0000], [0.5000, 0.5000, 0.0000], [0.1633, 0.3367, 0.5000], [0.3367, 0.8367, 0.5000], [0.6633, 0.1633, 0.5000], [0.8367, 0.6633, 0.5000], [0.1242, 0.6242, 0.0000], [0.3758, 0.1242, 0.0000], [0.6242, 0.8758, 0.0000], [0.8758, 0.3758, 0.0000]]}

No. 6
{"formula": "Ba2SrPb", "functional": "PBE-GGA", "state": "optimized geometry", "spacegroup": "I-4m2, No. 119", "cell": [[-2.7756, 2.7756, 5.6786], [2.7756, -2.7756, 5.6786], [2.7756, 2.7756, -5.6786]], "species": ["Ba", "Ba", "Sr", "Pb"], "frac_coords": [[0.0000, 0.0000, 0.0000], [0.7500, 0.2500, 0.5000], [0.5000, 0.5000, 0.0000], [0.2500, 0.7500, 0.5000]]}

No. 7
{"formula": "BaSr2Pb3", "functional": "PBE-GGA", "state": "optimized geometry", "spacegroup": "Cmmm, No. 65", "cell": [[2.7183, -8.2040, 0.0000], [2.7183, 8.2040, 0.0000], [0.0000, 0.0000, 4.8450]], "species": ["Ba", "Sr", "Sr", "Pb", "Pb", "Pb"], "frac_coords": [[0.0000, 0.0000, 0.0000], [0.3334, 0.6666, 0.0000], [0.6666, 0.3334, 0.0000], [0.1727, 0.8273, 0.5000], [0.5000, 0.5000, 0.5000], [0.8273, 0.1727, 0.5000]]}

No. 8
{"formula": "Ba2SrPb", "functional": "PBE-GGA", "state": "optimized geometry", "spacegroup": "I-42d, No. 122", "cell": [[-5.2563, 5.2563, 3.7343], [5.2563, -5.2563, 3.7343], [5.2563, 5.2563, -3.7343]], "species": ["Ba", "Ba", "Ba", "Ba", "Sr", "Sr", "Pb", "Pb"], "frac_coords": [[0.0667, 0.6250, 0.9417], [0.3750, 0.3167, 0.4417], [0.6833, 0.1250, 0.0583], [0.8750, 0.9333, 0.5583], [0.2500, 0.7500, 0.5000], [0.5000, 0.5000, 0.0000], [0.0000, 0.0000, 0.0000], [0.7500, 0.2500, 0.5000]]}

No. 9
{"formula": "BaSr4Pb4", "functional": "PBE-GGA", "state": "optimized geometry", "spacegroup": "P4_2/n, No. 86", "cell": [[10.8892, 0.0000, 0.0000], [0.0000, 10.8892, 0.0000], [0.0000, 0.0000, 6.7891]], "species": ["Ba", "Ba", "Sr", "Sr", "Sr", "Sr", "Sr", "Sr", "Sr", "Sr", "Pb", "Pb", "Pb", "Pb", "Pb", "Pb", "Pb", "Pb"], "frac_coords": [[0.2500, 0.2500, 0.2500], [0.7500, 0.7500, 0.7500], [0.0865, 0.6461, 0.1332], [0.1461, 0.9135, 0.6332], [0.3539, 0.5865, 0.6332], [0.4135, 0.8539, 0.1332], [0.5865, 0.1461, 0.8668], [0.6461, 0.4135, 0.3668], [0.8539, 0.0865, 0.3668], [0.9135, 0.3539, 0.8668], [0.0365, 0.6091, 0.6326], [0.1091, 0.9635, 0.1326], [0.3909, 0.5365, 0.1326], [0.4635, 0.8909, 0.6326], [0.5365, 0.1091, 0.3674], [0.6091, 0.4635, 0.8674], [0.8909, 0.0365, 0.8674], [0.9635, 0.3909, 0.3674]]}

No. 10
{"formula": "Ba2SrPb", "functional": "PBE-GGA", "state": "optimized geometry", "spacegroup": "I4/mmm, No. 139", "cell": [[-2.8255, 2.8255, 5.4741], [2.8255, -2.8255, 5.4741], [2.8255, 2.8255, -5.4741]], "species": ["Ba", "Ba", "Sr", "Pb"], "frac_coords": [[0.2500, 0.7500, 0.5000], [0.7500, 0.2500, 0.5000], [0.0000, 0.0000, 0.0000], [0.5000, 0.5000, 0.0000]]}

No. 11
{"formula": "Ba2SrPb", "functional": "PBE-GGA", "state": "optimized geometry", "spacegroup": "Imm2, No. 44", "cell": [[-2.1911, 3.1793, 7.0223], [2.1911, -3.1793, 7.0223], [2.1911, 3.1793, -7.0223]], "species": ["Ba", "Ba", "Sr", "Pb"], "frac_coords": [[0.0000, 0.0000, 0.0000], [0.6906, 0.1906, 0.5000], [0.3890, 0.3890, 0.0000], [0.2013, 0.7013, 0.5000]]}

No. 12
{"formula": "BaSr2Pb2", "functional": "PBE-GGA", "state": "optimized geometry", "de_polymorph_kcal_per_mol_atoms": 1.38, "spacegroup": "I4/mmm, No. 139", "cell": [[-2.6941, 2.6941, 7.3395], [2.6941, -2.6941, 7.3395], [2.6941, 2.6941, -7.3395]], "species": ["Ba", "Sr", "Sr", "Pb", "Pb"], "frac_coords": [[0.0000, 0.0000, 0.0000], [0.2500, 0.7500, 0.5000], [0.7500, 0.2500, 0.5000], [0.3969, 0.3969, 0.0000], [0.6031, 0.6031, 0.0000]]}

No. 13
{"formula": "BaSr5Pb6", "functional": "PBE-GGA", "state": "optimized geometry", "spacegroup": "Immm, No. 71", "cell": [[-2.9951, 4.0291, 8.9668], [2.9951, -4.0291, 8.9668], [2.9951, 4.0291, -8.9668]], "species": ["Ba", "Sr", "Sr", "Sr", "Sr", "Sr", "Pb", "Pb", "Pb", "Pb", "Pb", "Pb"], "frac_coords": [[0.0000, 0.0000, 0.0000], [0.1627, 0.6627, 0.5000], [0.3321, 0.3321, 0.0000], [0.5000, 0.0000, 0.5000], [0.6679, 0.6679, 0.0000], [0.8373, 0.3373, 0.5000], [0.0864, 0.8291, 0.2574], [0.2658, 0.5000, 0.7658], [0.4283, 0.1709, 0.2574], [0.5717, 0.8291, 0.7426], [0.7342, 0.5000, 0.2342], [0.9136, 0.1709, 0.7426]]}

No. 14
{"formula": "Ba2Sr3Pb4", "functional": "PBE-GGA", "state": "optimized geometry", "spacegroup": "P2_1/c, No. 14", "cell": [[9.3224, 0.0000, 0.0000], [0.0000, 9.1971, 0.0000], [-2.5445, 0.0000, 8.4239]], "species": ["Ba", "Ba", "Ba", "Ba", "Sr", "Sr", "Sr", "Sr", "Sr", "Sr", "Pb", "Pb", "Pb", "Pb", "Pb", "Pb", "Pb", "Pb"], "frac_coords": [[0.1941, 0.1762, 0.0718], [0.1941, 0.3238, 0.5718], [0.8059, 0.6762, 0.4282], [0.8059, 0.8238, 0.9282], [0.2463, 0.6737, 0.2496], [0.2463, 0.8263, 0.7496], [0.5000, 0.0000, 0.5000], [0.5000, 0.5000, 0.0000], [0.7537, 0.1737, 0.2504], [0.7537, 0.3263, 0.7504], [0.0763, 0.5305, 0.8653], [0.0763, 0.9695, 0.3653], [0.4985, 0.1219, 0.8775], [0.4985, 0.3781, 0.3775], [0.5015, 0.6219, 0.6225], [0.5015, 0.8781, 0.1225], [0.9237, 0.0305, 0.6347], [0.9237, 0.4695, 0.1347]]}

No. 15
{"formula": "BaSr2Pb2", "functional": "PBE-GGA", "state": "optimized geometry", "de_polymorph_kcal_per_mol_atoms": 5.06, "spacegroup": "I4/mmm, No. 139", "cell": [[-3.0869, 3.0869, 6.0105], [3.0869, -3.0869, 6.0105], [3.0869, 3.0869, -6.0105]], "species": ["Ba", "Sr", "Sr", "Pb", "Pb"], "frac_coords": [[0.0000, 0.0000, 0.0000], [0.3405, 0.3405, 0.0000], [0.6595, 0.6595, 0.0000], [0.2500, 0.7500, 0.5000], [0.7500, 0.2500, 0.5000]]}

No. 16
{"formula": "BaSr3Pb4", "functional": "PBE-GGA", "state": "optimized geometry", "spacegroup": "Pmma, No. 51", "cell": [[11.9029, 0.0000, 0.0000], [0.0000, 7.8836, 0.0000], [0.0000, 0.0000, 6.1321]], "species": ["Ba", "Ba", "Sr", "Sr", "Sr", "Sr", "Sr", "Sr", "Pb", "Pb", "Pb", "Pb", "Pb", "Pb", "Pb", "Pb"], "frac_coords": [[0.0000, 0.0000, 0.0000], [0.5000, 0.0000, 0.0000], [0.0000, 0.5000, 0.0000], [0.2500, 0.0000, 0.4250], [0.2500, 0.5000, 0.3987], [0.5000, 0.5000, 0.0000], [0.7500, 0.0000, 0.5750], [0.7500, 0.5000, 0.6013], [0.0000, 0.2649, 0.5000], [0.0000, 0.7351, 0.5000], [0.2500, 0.2684, 0.8875], [0.2500, 0.7316, 0.8875], [0.5000, 0.2649, 0.5000], [0.5000, 0.7351, 0.5000], [0.7500, 0.2684, 0.1125], [0.7500, 0.7316, 0.1125]]}

No. 17
{"formula": "BaSr2Pb2", "functional": "PBE-GGA", "state": "optimized geometry", "de_polymorph_kcal_per_mol_atoms": 0.05, "spacegroup": "P2_1/m, No. 11", "cell": [[5.9546, 0.0000, 0.0000], [0.0000, 5.2631, 0.0000], [-1.5004, 0.0000, 13.6512]], "species": ["Ba", "Ba", "Sr", "Sr", "Sr", "Sr", "Pb", "Pb", "Pb", "Pb"], "frac_coords": [[0.1903, 0.2500, 0.2444], [0.8097, 0.7500, 0.7556], [0.2471, 0.7500, 0.4906], [0.3223, 0.2500, 0.8770], [0.6777, 0.7500, 0.1230], [0.7529, 0.2500, 0.5094], [0.1589, 0.7500, 0.0140], [0.2876, 0.2500, 0.6420], [0.7124, 0.7500, 0.3580], [0.8411, 0.2500, 0.9860]]}

No. 18
{"formula": "Ba3SrPb2", "functional": "PBE-GGA", "state": "optimized geometry", "spacegroup": "Pmc2_1, No. 26", "cell": [[5.8236, 0.0000, 0.0000], [0.0000, 10.7951, 0.0000], [0.0000, 0.0000, 8.4266]], "species": ["Ba", "Ba", "Ba", "Ba", "Ba", "Ba", "Sr", "Sr", "Pb", "Pb", "Pb", "Pb"], "frac_coords": [[0.0000, 0.0630, 0.0000], [0.0000, 0.3315, 0.3466], [0.0000, 0.6685, 0.8466], [0.0000, 0.9370, 0.5000], [0.5000, 0.1739, 0.6859], [0.5000, 0.8261, 0.1859], [0.5000, 0.4351, 0.0333], [0.5000, 0.5649, 0.5333], [0.0000, 0.3512, 0.7784], [0.0000, 0.6488, 0.2784], [0.5000, 0.1523, 0.2546], [0.5000, 0.8477, 0.7546]]}

No. 19
{"formula": "Ba2SrPb", "functional": "PBE-GGA", "state": "optimized geometry", "spacegroup": "P4/mmm, No. 123", "cell": [[5.6314, 0.0000, 0.0000], [0.0000, 5.6314, 0.0000], [0.0000, 0.0000, 5.5476]], "species": ["Ba", "Ba", "Sr", "Pb"], "frac_coords": [[0.0000, 0.5000, 0.0000], [0.5000, 0.0000, 0.0000], [0.0000, 0.0000, 0.5000], [0.5000, 0.5000, 0.5000]]}

No. 20
{"formula": "Ba2SrPb", "functional": "PBE-GGA", "state": "optimized geometry", "spacegroup": "Pm, No. 6", "cell": [[4.2042, 0.0000, 0.0000], [0.0000, 5.1315, 0.0000], [-0.0281, 0.0000, 8.3717]], "species": ["Ba", "Ba", "Sr", "Pb"], "frac_coords": [[0.0000, 0.0000, 0.0000], [0.4970, 0.5000, 0.7027], [0.5031, 0.5000, 0.2815], [0.0007, 0.0000, 0.4787]]}

D(E_F) values, unit states/eV/cell, following the record order: 3.30 0.52 7.50 2.62 2.76 4.34 3.41 8.19 13.16 2.22 3.86 5.90 6.85 24.04 3.20 8.06 2.30 0.83 2.22 2.47.
Volume values, unit Å³/atom, following the record order: 55.48 41.36 38.15 45.02 41.03 43.75 36.02 51.59 44.72 43.70 48.92 42.62 36.07 40.13 45.82 35.96 42.78 44.15 43.98 45.15.
Formation enthalpy at 0 K values, unit eV/atom, following the record order: -0.167 -0.505 -0.466 -0.366 -0.465 -0.226 -0.509 -0.135 -0.395 -0.253 -0.288 -0.406 -0.505 -0.551 -0.247 -0.514 -0.464 -0.525 -0.300 -0.234.